Compound: CuAg
Source: OQMD
Functional: PBE-GGA
Structure: relaxed

Lattice parameters (Å, degrees): 14.4286 2.7860 7.6462 90.00 105.91 90.00
Closest atoms and distances in Å follow each position.
Space group Cm (No. 8)
Inequivalent atoms, fractional coordinates:
Cu (0.0000, 0.0000, 0.0000) (multiplicity 2)  8 Ag 2.68-2.93, 4 Cu 2.73-2.79
Cu (0.0069, 0.0000, 0.5251) (multiplicity 2)  5 Cu 2.55-2.79, 6 Ag 2.65-2.76
Cu (0.0974, 0.5000, 0.7987) (multiplicity 2)  8 Cu 2.55-2.79, 4 Ag 2.70-2.78
Cu (0.1949, 0.0000, 0.6107) (multiplicity 2)  7 Cu 2.61-2.79, 5 Ag 2.69-2.89
Cu (0.2899, 0.5000, 0.4183) (multiplicity 2)  4 Cu 2.66-2.79, 7 Ag 2.68-2.80
Ag (0.0955, 0.5000, 0.3178) (multiplicity 2)  7 Cu 2.68-2.81, 5 Ag 2.75-2.80
Ag (0.1930, 0.0000, 0.1043) (multiplicity 2)  5 Cu 2.68-2.80, 7 Ag 2.79-2.84
Ag (0.2978, 0.5000, 0.8996) (multiplicity 2)  4 Cu 2.69-2.81, 8 Ag 2.79-2.89
Ag (0.3977, 0.0000, 0.2287) (multiplicity 2)  6 Ag 2.75-2.89, 6 Cu 2.76-2.93
Ag (0.4025, 0.0000, 0.6962) (multiplicity 2)  8 Cu 2.65-2.89, 4 Ag 2.79-2.82



Compound: Cu3Ag7
Source: OQMD
Functional: PBE-GGA
Structure: relaxed

Lattice parameters (Å, degrees): 2.9182 2.9182 18.9427 90.00 90.00 90.00
Closest atoms and distances in Å follow each position.
Space group P4/mmm (No. 123)
Inequivalent atoms, fractional coordinates:
Cu (0.0000, 0.0000, 0.0000) (multiplicity 1)  8 Cu 2.50
Cu (0.5000, 0.5000, 0.0744) (multiplicity 2)  4 Cu 2.50, 4 Ag 2.73
Ag (0.0000, 0.0000, 0.1690) (multiplicity 2)  4 Cu 2.73, 8 Ag 2.92-2.94
Ag (0.0000, 0.0000, 0.3898) (multiplicity 2)  12 Ag 2.92-2.94
Ag (0.5000, 0.5000, 0.2796) (multiplicity 2)  12 Ag 2.92-2.94
Ag (0.5000, 0.5000, 0.5000) (multiplicity 1)  12 Ag 2.92-2.94



Compound: Cu3Ag2
Source: OQMD
Functional: PBE-GGA
Structure: relaxed

Lattice parameters (Å, degrees): 2.7669 2.7669 65.1239 90.00 90.00 120.00
Closest atoms and distances in Å follow each position.
Space group R-3m (No. 166, hexagonal axes)
Inequivalent atoms, fractional coordinates:
Cu (0.0000, 0.0000, 0.0457) (multiplicity 6)  12 Cu 2.53-2.77
Cu (0.0000, 0.0000, 0.2576) (multiplicity 6)  9 Cu 2.53-2.77, 3 Ag 2.74
Cu (0.0000, 0.0000, 0.3486) (multiplicity 6)  12 Cu 2.54-2.77
Ag (0.0000, 0.0000, 0.1480) (multiplicity 6)  12 Ag 2.77-2.95
Ag (0.0000, 0.0000, 0.4432) (multiplicity 6)  3 Cu 2.74, 9 Ag 2.77-2.95



Compound: CuAg
Source: OQMD
Functional: PBE-GGA
Structure: relaxed

Lattice parameters (Å, degrees): 9.1770 2.7930 9.4419 90.00 102.48 90.00
Closest atoms and distances in Å follow each position.
Space group C2/m (No. 12)
Inequivalent atoms, fractional coordinates:
Cu (0.1010, 0.0000, 0.1648) (multiplicity 4)  4 Cu 2.48-2.59, 3 Ag 2.73-2.74
Cu (0.1308, 0.5000, 0.9555) (multiplicity 4)  7 Cu 2.48-2.71, 2 Ag 2.68
Ag (0.1176, 0.5000, 0.4254) (multiplicity 4)  10 Ag 2.78-3.04, 2 Cu 2.80
Ag (0.1461, 0.0000, 0.7163) (multiplicity 4)  5 Cu 2.68-2.74, 5 Ag 2.78-2.86



Compound: CuAg
Source: OQMD
Functional: PBE-GGA
Structure: relaxed

Lattice parameters (Å, degrees): 9.3140 2.8421 11.4224 90.00 98.45 90.00
Closest atoms and distances in Å follow each position.
Space group C2/m (No. 12)
Inequivalent atoms, fractional coordinates:
Cu (0.0000, 0.0000, 0.0000) (multiplicity 2)  6 Cu 2.55-2.84, 4 Ag 2.67
Cu (0.1889, 0.5000, 0.9169) (multiplicity 4)  4 Cu 2.51-2.55, 4 Ag 2.76-2.78
Cu (0.2042, 0.0000, 0.4052) (multiplicity 4)  4 Cu 2.63-2.84, 7 Ag 2.72-2.87
Ag (0.0000, 0.5000, 0.5000) (multiplicity 2)  6 Cu 2.72-2.81, 6 Ag 2.82-2.84
Ag (0.1029, 0.0000, 0.7091) (multiplicity 4)  7 Ag 2.75-2.84, 5 Cu 2.76-2.96
Ag (0.1106, 0.5000, 0.1893) (multiplicity 4)  7 Cu 2.67-2.87, 5 Ag 2.75-2.84



Compound: CuAg
Source: OQMD
Functional: PBE-GGA
Structure: relaxed

Lattice parameters (Å, degrees): 5.5610 11.1312 4.7597 90.00 125.67 90.00
Closest atoms and distances in Å follow each position.
Space group C2 (No. 5)
Inequivalent atoms, fractional coordinates:
Cu (0.0000, 0.0000, 0.0000) (multiplicity 2)  6 Ag 2.65-2.78, 6 Cu 2.69-2.75
Cu (0.0000, 0.1133, 0.5000) (multiplicity 2)  5 Cu 2.63-2.78, 7 Ag 2.69-2.94
Cu (0.0000, 0.6234, 0.5000) (multiplicity 2)  7 Ag 2.70-2.77, 5 Cu 2.75-2.83
Cu (0.0000, 0.8772, 0.5000) (multiplicity 2)  4 Cu 2.63-2.83, 8 Ag 2.75-2.84
Ag (0.0000, 0.2383, 0.0000) (multiplicity 2)  7 Cu 2.65-2.84, 5 Ag 2.78-2.93
Ag (0.0000, 0.3775, 0.5000) (multiplicity 2)  6 Cu 2.74-2.94, 6 Ag 2.75-2.84
Ag (0.0000, 0.5011, 0.0000) (multiplicity 2)  8 Cu 2.69-2.78, 4 Ag 2.75-2.93
Ag (0.0000, 0.7503, 0.0000) (multiplicity 2)  7 Cu 2.77-2.83, 5 Ag 2.77-2.78



Compound: CuAg
Source: OQMD
Functional: PBE-GGA
Structure: relaxed

Lattice parameters (Å, degrees): 4.8436 2.8129 11.1543 90.00 98.00 90.00
Closest atoms and distances in Å follow each position.
Space group P2/m (No. 10)
Inequivalent atoms, fractional coordinates:
Cu (0.0000, 0.0000, 0.0000) (multiplicity 1)  8 Cu 2.57-2.81, 4 Ag 2.80
Cu (0.0851, 0.5000, 0.8162) (multiplicity 2)  6 Cu 2.57-2.81, 4 Ag 2.66-2.75
Cu (0.3771, 0.0000, 0.1902) (multiplicity 2)  5 Cu 2.60-2.81, 5 Ag 2.68-2.73
Ag (0.2051, 0.0000, 0.6180) (multiplicity 2)  3 Cu 2.73-2.75, 8 Ag 2.80-2.98
Ag (0.2962, 0.5000, 0.3914) (multiplicity 2)  3 Cu 2.72-2.75, 9 Ag 2.80-2.98
Ag (0.5000, 0.5000, 0.0000) (multiplicity 1)  10 Cu 2.66-2.80, 2 Ag 2.81



Compound: CuAg
Source: OQMD
Functional: PBE-GGA
Structure: relaxed

Lattice parameters (Å, degrees): 5.5604 7.6083 5.6846 90.00 90.00 90.00
Closest atoms and distances in Å follow each position.
Space group Cmmm (No. 65)
Inequivalent atoms, fractional coordinates:
Cu (0.0000, 0.0000, 0.2219) (multiplicity 4)  5 Cu 2.52-2.67, 2 Ag 2.78
Cu (0.2500, 0.2500, 0.0000) (multiplicity 4)  6 Cu 2.67-2.78, 6 Ag 2.72-2.84
Ag (0.0000, 0.5000, 0.2381) (multiplicity 4)  6 Ag 2.71-2.98, 6 Cu 2.72-2.78
Ag (0.2500, 0.2500, 0.5000) (multiplicity 4)  6 Ag 2.78-2.79, 6 Cu 2.84



Electronic total energy across the listed records, respectively: -63.36; -30.63; -98.05; -51.22; -63.52; -50.68; -31.68; -50.59 eV for the cell shown.